WClF4 | PBE+U | relaxed

Geometry as CIF:
```
data_WClF4
_chemical_formula_sum 'W2 Cl2 F8'
_symmetry_space_group_name_H-M 'P 1 21/c 1'
_symmetry_Int_Tables_number 14
_cell_length_a 4.929
_cell_length_b 6.970
_cell_length_c 8.440
_cell_angle_alpha 90.00
_cell_angle_beta 124.94
_cell_angle_gamma 90.00
loop_
_symmetry_equiv_pos_as_xyz
'x,y,z'
'-x,-y,-z'
'-x,y+1/2,-z+1/2'
'x,-y+1/2,z+1/2'
loop_
_atom_site_label
_atom_site_type_symbol
_atom_site_fract_x
_atom_site_fract_y
_atom_site_fract_z
W1 W 0.000 0.000 0.000
Cl1 Cl 0.500 0.000 0.000
F1 F 0.001 0.227 0.500
F2 F 0.269 0.517 0.774
```

Values from the calculation:
DOS at the Fermi energy (states/eV per atom): 0.0000
Calculated volume (A^3/atom): 19.8
Raw total energy (eV/atom): -4.912